TaTePbI2: relaxed, PBE-GGA.

Lattice parameters (Å, degrees): 5.7457 5.7457 5.4767 90.00 90.00 90.00
Positions (direct):
1 Ta 0.0000 0.0000 0.0000
2 Te 0.0000 0.0000 0.5000
3 Pb 0.5000 0.5000 0.5000
4 I 0.0000 0.5000 0.0000
5 I 0.5000 0.0000 0.0000

Values from the calculation:
E above lowest polymorph (eV per atom): 0.0000
DOS(E_F) (states/eV/atom): 0.9895

---

TaVPb2I: relaxed, PBE-GGA.

Lattice parameters (Å, degrees): 5.6750 5.6750 4.7373 90.00 90.00 90.00
Positions (direct):
1 Ta 0.0000 0.0000 0.0000
2 V 0.0000 0.0000 0.5000
3 Pb 0.0000 0.5000 0.0000
4 Pb 0.5000 0.0000 0.0000
5 I 0.5000 0.5000 0.5000

Values from the calculation:
DOS(E_F) (states/eV/atom): 0.9246

---

TbPbI2: relaxed, PBE-GGA.

Lattice parameters (Å, degrees): 3.9607 3.9607 33.9399 90.00 90.00 120.00
Positions (direct):
1 Tb 0.0000 0.0000 0.0000
2 Tb 0.3333 0.6667 0.6667
3 Tb 0.6667 0.3333 0.3333
4 Pb 0.0000 0.0000 0.5000
5 Pb 0.3333 0.6667 0.1667
6 Pb 0.6667 0.3333 0.8333
7 I 0.0000 0.0000 0.0870
8 I 0.0000 0.0000 0.9130
9 I 0.3333 0.6667 0.5797
10 I 0.3333 0.6667 0.7536
11 I 0.6667 0.3333 0.2464
12 I 0.6667 0.3333 0.4203

Values from the calculation:
DOS(E_F) (states/eV/atom): 0.4652

---

Tb2PbI3: relaxed, PBE-GGA.

Lattice parameters (Å, degrees): 10.3716 10.3716 14.2516 128.96 128.96 23.05
Positions (direct):
1 Tb 0.1043 0.1043 0.4228
2 Tb 0.3750 0.3750 0.1660
3 Tb 0.6250 0.6250 0.8340
4 Tb 0.8957 0.8957 0.5772
5 Pb 0.0767 0.0767 0.6329
6 Pb 0.9233 0.9233 0.3671
7 I 0.1795 0.1795 0.0393
8 I 0.2601 0.2601 0.3911
9 I 0.4535 0.4535 0.7844
10 I 0.5465 0.5465 0.2156
11 I 0.7399 0.7399 0.6089
12 I 0.8205 0.8205 0.9607

Values from the calculation:
DOS(E_F) (states/eV/atom): 0.2029

---

TbPbI6: relaxed, PBE-GGA.

Lattice parameters (Å, degrees): 8.1779 8.1779 8.1779 56.50 56.50 56.50
Positions (direct):
1 Tb 0.0000 0.0000 0.0000
2 Pb 0.5000 0.5000 0.5000
3 I 0.0624 0.4191 0.7624
4 I 0.2376 0.9376 0.5809
5 I 0.4191 0.7624 0.0624
6 I 0.5809 0.2376 0.9376
7 I 0.7624 0.0624 0.4191
8 I 0.9376 0.5809 0.2376

Values from the calculation:
DOS(E_F) (states/eV/atom): 1.6754

---

TbPbI5: relaxed, PBE-GGA.

Lattice parameters (Å, degrees): 9.2886 4.5028 15.0218 90.00 94.23 90.00
Positions (direct):
1 Tb 0.0890 0.2500 0.1499
2 Tb 0.9110 0.7500 0.8501
3 Pb 0.4044 0.7500 0.3630
4 Pb 0.5956 0.2500 0.6370
5 I 0.1144 0.2500 0.7974
6 I 0.1406 0.2500 0.3608
7 I 0.1756 0.7500 0.0149
8 I 0.3520 0.7500 0.5729
9 I 0.4170 0.2500 0.1811
10 I 0.5830 0.7500 0.8189
11 I 0.6480 0.2500 0.4271
12 I 0.8244 0.2500 0.9851
13 I 0.8594 0.7500 0.6392
14 I 0.8856 0.7500 0.2026

Values from the calculation:
DOS(E_F) (states/eV/atom): 0.0000

---

TcPb2I: relaxed, PBE-GGA.

Lattice parameters (Å, degrees): 7.6645 7.6645 7.6645 90.00 90.00 90.00
Positions (direct):
1 Tc 0.0000 0.0000 0.0000
2 Tc 0.0000 0.5000 0.5000
3 Tc 0.5000 0.0000 0.5000
4 Tc 0.5000 0.5000 0.0000
5 Pb 0.2500 0.2500 0.2500
6 Pb 0.2500 0.2500 0.7500
7 Pb 0.2500 0.7500 0.2500
8 Pb 0.2500 0.7500 0.7500
9 Pb 0.7500 0.2500 0.2500
10 Pb 0.7500 0.2500 0.7500
11 Pb 0.7500 0.7500 0.2500
12 Pb 0.7500 0.7500 0.7500
13 I 0.0000 0.0000 0.5000
14 I 0.0000 0.5000 0.0000
15 I 0.5000 0.0000 0.0000
16 I 0.5000 0.5000 0.5000

Values from the calculation:
E above lowest polymorph (eV per atom): 0.1954
DOS(E_F) (states/eV/atom): 1.1043

---

TcPb2I8: relaxed, PBE-GGA.

Lattice parameters (Å, degrees): 8.7435 8.7435 7.9406 103.17 103.17 77.34
Positions (direct):
1 Tc 0.0000 0.0000 0.0000
2 Pb 0.1477 0.1477 0.5606
3 Pb 0.8523 0.8523 0.4394
4 I 0.1408 0.7821 0.2167
5 I 0.2034 0.2034 0.1890
6 I 0.2179 0.8592 0.7833
7 I 0.3586 0.3586 0.7756
8 I 0.6414 0.6414 0.2244
9 I 0.7821 0.1408 0.2167
10 I 0.7966 0.7966 0.8110
11 I 0.8592 0.2179 0.7833

---

TcPbI2: relaxed, PBE-GGA.

Lattice parameters (Å, degrees): 7.6840 7.6840 7.6840 90.00 90.00 90.00
Positions (direct):
1 Tc 0.0000 0.0000 0.0000
2 Tc 0.0000 0.5000 0.5000
3 Tc 0.5000 0.0000 0.5000
4 Tc 0.5000 0.5000 0.0000
5 Pb 0.0000 0.0000 0.5000
6 Pb 0.0000 0.5000 0.0000
7 Pb 0.5000 0.0000 0.0000
8 Pb 0.5000 0.5000 0.5000
9 I 0.2500 0.2500 0.2500
10 I 0.2500 0.2500 0.7500
11 I 0.2500 0.7500 0.2500
12 I 0.2500 0.7500 0.7500
13 I 0.7500 0.2500 0.2500
14 I 0.7500 0.2500 0.7500
15 I 0.7500 0.7500 0.2500
16 I 0.7500 0.7500 0.7500

Values from the calculation:
E above lowest polymorph (eV per atom): 0.4292
DOS(E_F) (states/eV/atom): 0.5262

---

TcPbI2: relaxed, PBE-GGA.

Lattice parameters (Å, degrees): 9.6924 9.6924 5.4729 90.00 90.00 90.00
Positions (direct):
1 Tc 0.0000 0.0000 0.0000
2 Tc 0.0000 0.5000 0.2500
3 Tc 0.5000 0.0000 0.7500
4 Tc 0.5000 0.5000 0.5000
5 Pb 0.0000 0.0000 0.5000
6 Pb 0.0000 0.5000 0.7500
7 Pb 0.5000 0.0000 0.2500
8 Pb 0.5000 0.5000 0.0000
9 I 0.1121 0.2500 0.1250
10 I 0.2500 0.6121 0.3750
11 I 0.2500 0.8879 0.8750
12 I 0.3879 0.2500 0.6250
13 I 0.6121 0.7500 0.6250
14 I 0.7500 0.1121 0.8750
15 I 0.7500 0.3879 0.3750
16 I 0.8879 0.7500 0.1250

Values from the calculation:
E above lowest polymorph (eV per atom): 0.0000
DOS(E_F) (states/eV/atom): 1.3312

---

TcPb3I: relaxed, PBE-GGA.

Lattice parameters (Å, degrees): 5.3798 5.3798 5.3798 90.00 90.00 90.00
Positions (direct):
1 Tc 0.0000 0.0000 0.0000
2 Pb 0.0000 0.0000 0.5000
3 Pb 0.0000 0.5000 0.0000
4 Pb 0.5000 0.0000 0.0000
5 I 0.5000 0.5000 0.5000

Values from the calculation:
E above lowest polymorph (eV per atom): 0.0000
DOS(E_F) (states/eV/atom): 0.0000

---

Tc3PbI: relaxed, PBE-GGA.

Lattice parameters (Å, degrees): 4.9034 4.9034 4.9034 90.00 90.00 90.00
Positions (direct):
1 Tc 0.0000 0.0000 0.5000
2 Tc 0.0000 0.5000 0.0000
3 Tc 0.5000 0.0000 0.0000
4 Pb 0.5000 0.5000 0.5000
5 I 0.0000 0.0000 0.0000

Values from the calculation:
E above lowest polymorph (eV per atom): 0.0000
DOS(E_F) (states/eV/atom): 0.7029

---

TcPb2I: relaxed, PBE-GGA.

Lattice parameters (Å, degrees): 6.7834 6.7834 13.8023 90.00 90.00 90.00
Positions (direct):
1 Tc 0.0000 0.0000 0.0000
2 Tc 0.0000 0.5000 0.2500
3 Tc 0.5000 0.0000 0.7500
4 Tc 0.5000 0.5000 0.5000
5 Pb 0.1496 0.2500 0.1250
6 Pb 0.2500 0.6496 0.3750
7 Pb 0.2500 0.8504 0.8750
8 Pb 0.3504 0.2500 0.6250
9 Pb 0.6496 0.7500 0.6250
10 Pb 0.7500 0.1496 0.8750
11 Pb 0.7500 0.3504 0.3750
12 Pb 0.8504 0.7500 0.1250
13 I 0.0000 0.0000 0.5000
14 I 0.0000 0.5000 0.7500
15 I 0.5000 0.0000 0.2500
16 I 0.5000 0.5000 0.0000

Values from the calculation:
E above lowest polymorph (eV per atom): 0.0000
DOS(E_F) (states/eV/atom): 0.7177

---

TcTe2PbI: relaxed, PBE-GGA.

Lattice parameters (Å, degrees): 5.2256 5.2256 5.6796 90.00 90.00 90.00
Positions (direct):
1 Tc 0.0000 0.0000 0.0000
2 Te 0.0000 0.5000 0.0000
3 Te 0.5000 0.0000 0.0000
4 Pb 0.5000 0.5000 0.5000
5 I 0.0000 0.0000 0.5000

Values from the calculation:
E above lowest polymorph (eV per atom): 0.0000
DOS(E_F) (states/eV/atom): 1.3408

---

ZrTcPbI2: relaxed, PBE-GGA.

Lattice parameters (Å, degrees): 6.0724 6.0724 5.3799 90.00 90.00 90.00
Positions (direct):
1 Zr 0.0000 0.0000 0.0000
2 Tc 0.5000 0.5000 0.0000
3 Pb 0.5000 0.5000 0.5000
4 I 0.0000 0.5000 0.5000
5 I 0.5000 0.0000 0.5000

Values from the calculation:
DOS(E_F) (states/eV/atom): 1.5013

---

TePbI2: relaxed, PBE-GGA.

Lattice parameters (Å, degrees): 9.0675 9.0675 7.4697 90.00 90.00 90.00
Positions (direct):
1 Te 0.0000 0.0000 0.0000
2 Te 0.0000 0.5000 0.2500
3 Te 0.5000 0.0000 0.7500
4 Te 0.5000 0.5000 0.5000
5 Pb 0.0000 0.0000 0.5000
6 Pb 0.0000 0.5000 0.7500
7 Pb 0.5000 0.0000 0.2500
8 Pb 0.5000 0.5000 0.0000
9 I 0.2302 0.2500 0.6250
10 I 0.2500 0.7302 0.8750
11 I 0.2500 0.7698 0.3750
12 I 0.2698 0.2500 0.1250
13 I 0.7302 0.7500 0.1250
14 I 0.7500 0.2302 0.3750
15 I 0.7500 0.2698 0.8750
16 I 0.7698 0.7500 0.6250

Values from the calculation:
E above lowest polymorph (eV per atom): 0.0000
DOS(E_F) (states/eV/atom): 1.1691

---

Te3PbI: relaxed, PBE-GGA.

Lattice parameters (Å, degrees): 5.8989 5.8989 5.8989 90.00 90.00 90.00
Positions (direct):
1 Te 0.0000 0.0000 0.5000
2 Te 0.0000 0.5000 0.0000
3 Te 0.5000 0.0000 0.0000
4 Pb 0.0000 0.0000 0.0000
5 I 0.5000 0.5000 0.5000

Values from the calculation:
E above lowest polymorph (eV per atom): 0.0353
DOS(E_F) (states/eV/atom): 1.9202

---

TePb2I: relaxed, PBE-GGA.

Lattice parameters (Å, degrees): 4.0116 4.0116 8.1975 90.00 90.00 90.00
Positions (direct):
1 Te 0.0000 0.0000 0.0000
2 Pb 0.5000 0.5000 0.2211
3 Pb 0.5000 0.5000 0.7789
4 I 0.0000 0.0000 0.5000

Values from the calculation:
E above lowest polymorph (eV per atom): 0.0234
DOS(E_F) (states/eV/atom): 0.2954

---

Te5Pb6I: relaxed, PBE-GGA.

Lattice parameters (Å, degrees): 8.0949 8.0949 7.8347 99.68 99.68 117.29
Positions (direct):
1 Te 0.0000 0.0000 0.0000
2 Te 0.1676 0.8324 0.5000
3 Te 0.3371 0.6629 0.0000
4 Te 0.6629 0.3371 0.0000
5 Te 0.8324 0.1676 0.5000
6 Pb 0.0627 0.4141 0.2391
7 Pb 0.2329 0.2329 0.7517
8 Pb 0.4141 0.0627 0.2391
9 Pb 0.5859 0.9373 0.7609
10 Pb 0.7671 0.7671 0.2483
11 Pb 0.9373 0.5859 0.7609
12 I 0.5000 0.5000 0.5000

Values from the calculation:
DOS(E_F) (states/eV/atom): 0.3251

---

Te3PbI: relaxed, PBE-GGA.

Lattice parameters (Å, degrees): 5.8416 5.8416 5.8416 90.00 90.00 90.00
Positions (direct):
1 Te 0.0000 0.0000 0.5000
2 Te 0.0000 0.5000 0.0000
3 Te 0.5000 0.0000 0.0000
4 Pb 0.5000 0.5000 0.5000
5 I 0.0000 0.0000 0.0000

Values from the calculation:
E above lowest polymorph (eV per atom): 0.0000
DOS(E_F) (states/eV/atom): 0.6339

---

Number 1: calculated total energy -20.32 eV/cell, E_form (uncorrected) 0.30 eV/atom. Number 2: calculated total energy -25.69 eV/cell, E_form (uncorrected) 0.85 eV/atom. Number 3: calculated total energy -37.84 eV/cell, E_form (uncorrected) -0.29 eV/atom. Number 4: calculated total energy -46.70 eV/cell, E_form (uncorrected) -0.96 eV/atom. Number 5: calculated total energy -24.13 eV/cell, E_form (uncorrected) -0.81 eV/atom. Number 6: calculated total energy -46.63 eV/cell, E_form (uncorrected) -1.03 eV/atom. Number 7: calculated total energy -62.59 eV/cell, E_form (uncorrected) 0.92 eV/atom. Number 8: calculated total energy -33.40 eV/cell, E_form (uncorrected) -0.29 eV/atom. Number 9: calculated total energy -56.97 eV/cell, E_form (uncorrected) 0.73 eV/atom. Number 10: calculated total energy -63.84 eV/cell, E_form (uncorrected) 0.30 eV/atom. Number 11: calculated total energy -22.90 eV/cell, E_form (uncorrected) 0.03 eV/atom. Number 12: calculated total energy -27.21 eV/cell, E_form (uncorrected) 1.83 eV/atom. Number 13: calculated total energy -65.71 eV/cell, E_form (uncorrected) 0.73 eV/atom. Number 14: calculated total energy -20.28 eV/cell, E_form (uncorrected) 0.33 eV/atom. Number 15: calculated total energy -17.87 eV/cell, E_form (uncorrected) 1.57 eV/atom. Number 16: calculated total energy -38.93 eV/cell, E_form (uncorrected) 0.05 eV/atom. Number 17: calculated total energy -11.69 eV/cell, E_form (uncorrected) 0.60 eV/atom. Number 18: calculated total energy -13.22 eV/cell, E_form (uncorrected) -0.28 eV/atom. Number 19: calculated total energy -43.92 eV/cell, E_form (uncorrected) -0.37 eV/atom. Number 20: calculated total energy -11.87 eV/cell, E_form (uncorrected) 0.56 eV/atom.